## TcRu (GGA-PBE)

Data for a relaxed structure of TcRu.

DFT formation energy: 0.863 eV/atom
E: -8.96 eV/atom
Calculated volume: 66.3 Å³/cell
E above lowest polymorph: 930 meV per atom

Structure (CIF):
```
data_TcRu
_cell_length_a 3.7860
_cell_length_b 3.7860
_cell_length_c 5.3371
_cell_angle_alpha 90.00
_cell_angle_beta 90.00
_cell_angle_gamma 120.00
_space_group_name_H-M_alt 'P 63/m m c'
_space_group_IT_number 194
_space_group_name_Hall '-P 6c 2c'
loop_
_atom_site_label
_atom_site_fract_x
_atom_site_fract_y
_atom_site_fract_z
_atom_site_occupancy
Tc1 0.3333 0.6667 0.2500 1
Ru1 0.0000 0.0000 0.0000 1
```

=====

## YRu3C (GGA-PBE)

Data for a relaxed structure of YRu3C.

DFT formation energy: 1.034 eV/atom
E: -7.67 eV/atom
Calculated volume: 458.3 Å³/cell

Structure (CIF):
```
data_YRu3C
_cell_length_a 5.1917
_cell_length_b 19.9240
_cell_length_c 4.4305
_cell_angle_alpha 90.00
_cell_angle_beta 90.00
_cell_angle_gamma 90.00
_space_group_name_H-M_alt 'C m c m'
_space_group_IT_number 63
_space_group_name_Hall '-C 2c 2'
loop_
_atom_site_label
_atom_site_fract_x
_atom_site_fract_y
_atom_site_fract_z
_atom_site_occupancy
Y1 0.0000 0.1313 0.2500 1
Ru1 0.0000 0.0000 0.0000 1
Ru2 0.2457 0.2186 0.7500 1
C1 0.0000 0.3479 0.2500 1
```

=====

## K2RhO3 (GGA-PBE)

Data for a relaxed structure of K2RhO3.

E: -5.12 eV/atom
Calculated volume: 414.8 Å³/cell

Structure (CIF):
```
data_K2RhO3
_cell_length_a 10.2665
_cell_length_b 6.7833
_cell_length_c 6.0599
_cell_angle_alpha 90.00
_cell_angle_beta 100.61
_cell_angle_gamma 90.00
_space_group_name_H-M_alt 'C 1 2/c 1'
_space_group_IT_number 15
loop_
_space_group_symop_operation_xyz
'x,y,z'
'-x,-y,-z'
'-x,y,-z+1/2'
'x,-y,z+1/2'
'x+1/2,y+1/2,z'
'-x+1/2,-y+1/2,-z'
'-x+1/2,y+1/2,-z+1/2'
'x+1/2,-y+1/2,z+1/2'
loop_
_atom_site_label
_atom_site_fract_x
_atom_site_fract_y
_atom_site_fract_z
_atom_site_occupancy
K1 0.1639 0.1279 0.1736 1
Rh1 0.0000 0.4482 0.7500 1
O1 0.0000 0.1652 0.7500 1
O2 0.1268 0.4742 0.5221 1
```

=====

## PrNd3Sm8 (GGA-PBE)

Data for a relaxed structure of PrNd3Sm8.

DFT formation energy: 0.111 eV/atom
E: -4.63 eV/atom
Calculated volume: 828.9 Å³/cell

Structure (CIF):
```
data_PrNd3Sm8
_cell_length_a 15.7156
_cell_length_b 8.8512
_cell_length_c 6.5491
_cell_angle_alpha 90.00
_cell_angle_beta 114.51
_cell_angle_gamma 90.00
_space_group_name_H-M_alt 'C 1 2 1'
_space_group_IT_number 5
loop_
_space_group_symop_operation_xyz
'x,y,z'
'-x,y,-z'
'x+1/2,y+1/2,z'
'-x+1/2,y+1/2,-z'
loop_
_atom_site_label
_atom_site_fract_x
_atom_site_fract_y
_atom_site_fract_z
_atom_site_occupancy
Pr1 0.0000 0.0000 0.0000 1
Nd1 0.0000 0.3776 0.5000 1
Nd2 0.1279 0.3317 0.1176 1
Sm1 0.0689 0.6923 0.3233 1
Sm2 0.1276 0.0478 0.6406 1
Sm3 0.1711 0.6918 0.9267 1
Sm4 0.2489 0.4424 0.6571 1
```

=====

## ReHgB3 (GGA-PBE)

Data for a relaxed structure of ReHgB3.

DFT formation energy: 1.189 eV/atom
E: -5.37 eV/atom
Calculated volume: 74.5 Å³/cell
E above lowest polymorph: 0 meV per atom

Structure (CIF):
```
data_ReHgB3
_cell_length_a 4.2074
_cell_length_b 4.2074
_cell_length_c 4.2074
_cell_angle_alpha 90.00
_cell_angle_beta 90.00
_cell_angle_gamma 90.00
_space_group_name_H-M_alt 'P m -3 m'
_space_group_IT_number 221
_space_group_name_Hall '-P 4 2 3'
loop_
_atom_site_label
_atom_site_fract_x
_atom_site_fract_y
_atom_site_fract_z
_atom_site_occupancy
Re1 0.0000 0.0000 0.0000 1
Hg1 0.5000 0.5000 0.5000 1
B1 0.0000 0.0000 0.5000 1
```

=====

## BaReAs2 (GGA-PBE)

Data for a relaxed structure of BaReAs2.

DFT formation energy: 0.948 eV/atom
E: -4.97 eV/atom
Calculated volume: 353.0 Å³/cell
E above lowest polymorph: 1205 meV per atom

Structure (CIF):
```
data_BaReAs2
_cell_length_a 7.0676
_cell_length_b 7.0676
_cell_length_c 7.0676
_cell_angle_alpha 90.00
_cell_angle_beta 90.00
_cell_angle_gamma 90.00
_space_group_name_H-M_alt 'F -4 3 m'
_space_group_IT_number 216
_space_group_name_Hall 'F -4 2 3'
loop_
_atom_site_label
_atom_site_fract_x
_atom_site_fract_y
_atom_site_fract_z
_atom_site_occupancy
Ba1 0.0000 0.0000 0.0000 1
Re1 0.2500 0.2500 0.2500 1
As1 0.0000 0.0000 0.5000 1
As2 0.2500 0.2500 0.7500 1
```

=====

## YTiCuNi2 (GGA-PBE)

Data for a relaxed structure of YTiCuNi2.

DFT formation energy: 0.695 eV/atom
E: -5.31 eV/atom
Calculated volume: 95.3 Å³/cell

Structure (CIF):
```
data_YTiCuNi2
_cell_length_a 4.4691
_cell_length_b 4.4691
_cell_length_c 4.7691
_cell_angle_alpha 90.00
_cell_angle_beta 90.00
_cell_angle_gamma 90.00
_space_group_name_H-M_alt 'P 4/m m m'
_space_group_IT_number 123
_space_group_name_Hall '-P 4 2'
loop_
_atom_site_label
_atom_site_fract_x
_atom_site_fract_y
_atom_site_fract_z
_atom_site_occupancy
Y1 0.0000 0.0000 0.0000 1
Ti1 0.5000 0.5000 0.0000 1
Cu1 0.0000 0.0000 0.5000 1
Ni1 0.0000 0.5000 0.5000 1
```